Entry 1:
Entry from Alexandria: a geometry-optimized Cd2OsW structure (GGA-PBEsol).

- E above lowest polymorph: 0.380 eV per atom
- Density: 14.8 Mg/m³

Unit cell a=2.8057 b=4.5203 c=5.3024 alpha=90.00 beta=90.00 gamma=90.00
Positions (direct):
Os: 0.5000 0.5000 0.0000
Cd: 0.0000 0.0000 0.7514
W: 0.5000 0.5000 0.5000
Cd: 0.0000 0.0000 0.2486

=====

Entry 2:
Entry from Alexandria: a geometry-optimized CdOsW structure (GGA-PBEsol).

- E above lowest polymorph: 0.000 eV per atom
- Density: 16.7 Mg/m³

Unit cell a=2.8135 b=2.8135 c=7.0682 alpha=90.00 beta=90.00 gamma=120.00
Positions (direct):
W: 0.6667 0.3333 0.3564
Cd: 0.0000 0.0000 0.9960
Os: 0.3333 0.6667 0.6477

=====

Entry 3:
Entry from Alexandria: a geometry-optimized CdOs2W structure (GGA-PBEsol).

- Density: 17.9 Mg/m³

Unit cell a=2.8243 b=2.8243 c=7.8521 alpha=90.00 beta=90.00 gamma=90.00
Positions (direct):
Os: 0.0000 0.0000 0.2296
Cd: 0.5000 0.5000 0.5000
W: 0.5000 0.5000 0.0000
Os: 0.0000 0.0000 0.7704

=====

Entry 4:
Entry from Alexandria: a geometry-optimized CdOsW structure (GGA-PBEsol).

- E above lowest polymorph: 1.624 eV per atom
- Density: 14.6 Mg/m³

Unit cell a=4.2767 b=4.2767 c=4.2767 alpha=60.00 beta=60.00 gamma=60.00
Positions (direct):
Os: 0.0000 0.0000 0.0000
W: 0.5000 0.5000 0.5000
Cd: 0.2500 0.2500 0.2500

=====

Formation energy / eV per atom: 0.7854 0.3112 0.3404 1.9348
Calculated volume / Å³/atom: 16.8 16.2 15.7 18.4
Total magnetic moment / μB/cell: 0.01 0.00 0.00 0.00